KAl2Ni | PBE | relaxed

Total energy = -14.86 eV/cell
DOS at the Fermi energy = 2.79 states/eV/cell
Polymorph energy (0 for the lowest one) = 0 meV per atom

a b c (Å): 6.744 6.744 6.744
angles (deg): 36.69 36.69 36.69
Sites, in units of the cell vectors:
Ni1 0.750 0.750 0.750
K1 0.250 0.250 0.250
Al1 0.063 0.063 0.063
Al2 0.437 0.437 0.437

Ca3Zn2Au6 | PBE | relaxed

Total energy = -68.57 eV/cell
DOS at the Fermi energy = 8.56 states/eV/cell

a b c (Å): 8.606 8.606 8.606
angles (deg): 109.47 109.47 109.47
Sites, in units of the cell vectors:
Ca1 0.700 0.000 0.700
Ca2 0.300 0.000 0.300
Ca3 0.000 0.300 0.300
Ca4 0.000 0.700 0.700
Ca5 0.300 0.300 0.000
Ca6 0.700 0.700 0.000
Zn1 0.000 0.500 0.000
Zn2 0.500 0.000 0.000
Zn3 0.000 0.000 0.500
Zn4 0.500 0.500 0.500
Au1 0.682 0.364 0.682
Au2 0.682 0.000 0.318
Au3 0.318 0.000 0.682
Au4 0.318 0.636 0.318
Au5 0.000 0.682 0.318
Au6 0.636 0.318 0.318
Au7 0.364 0.682 0.682
Au8 0.000 0.318 0.682
Au9 0.318 0.682 0.000
Au10 0.682 0.682 0.364
Au11 0.318 0.318 0.636
Au12 0.682 0.318 0.000

RbCu4F8 | PBE | relaxed

Energy relative to the elements, uncorrected = -1559 meV/atom
Total energy = -52.59 eV/cell
DOS at the Fermi energy = 10.42 states/eV/cell
Polymorph energy (0 for the lowest one) = 100 meV per atom

a b c (Å): 6.619 6.619 6.619
angles (deg): 60.00 60.00 60.00
Sites, in units of the cell vectors:
Rb1 0.750 0.750 0.750
Cu1 0.880 0.373 0.373
Cu2 0.373 0.880 0.373
Cu3 0.373 0.373 0.880
Cu4 0.373 0.373 0.373
F1 0.552 0.149 0.149
F2 0.149 0.552 0.149
F3 0.149 0.149 0.552
F4 0.149 0.149 0.149
F5 0.212 0.596 0.596
F6 0.596 0.212 0.596
F7 0.596 0.596 0.212
F8 0.596 0.596 0.596